(1)
Compound: CsSrLi2Zn
Source: Alexandria via LeMat-Bulk
Functional: meta-GGA SCAN
Structure: single point on PBEsol structure

Geometry as POSCAR:
```
CsSrLi2Zn
1.0
6.533 0.000 0.000
0.000 6.533 0.000
0.000 0.000 6.126
Cs Sr Li Zn
1 1 2 1
direct
0.000 0.000 0.000
0.500 0.500 0.500
0.000 0.500 0.500
0.500 0.000 0.500
0.500 0.500 0.000
```

Output
The energy of formation comes out at 0.4882 eV per atom. The density of states at the Fermi level comes out at 4.165 states/eV per cell. For the final energy, the calculation gives -15.188 eV per atom.


(2)
Compound: Cs2Li2Ta
Source: Alexandria via LeMat-Bulk
Functional: meta-GGA SCAN
Structure: single point on PBEsol structure

Geometry as POSCAR:
```
Cs2Li2Ta
1.0
9.454 0.000 0.000
0.000 9.454 0.000
0.000 0.000 3.184
Cs Li Ta
4 4 2
direct
0.130 0.370 0.000
0.370 0.870 0.000
0.630 0.130 0.000
0.870 0.630 0.000
0.183 0.683 0.500
0.317 0.183 0.500
0.683 0.817 0.500
0.817 0.317 0.500
0.000 0.000 0.000
0.500 0.500 0.000
```

Output
The energy of formation comes out at 1.4206 eV per atom. The density of states at the Fermi level comes out at 10.614 states/eV per cell. For the final energy, the calculation gives -27.976 eV per atom.


(3)
Compound: CsLi3Te
Source: Alexandria via LeMat-Bulk
Functional: meta-GGA SCAN
Structure: single point on PBEsol structure

Geometry as POSCAR:
```
CsLi3Te
1.0
5.546 0.000 0.000
0.000 5.546 0.000
0.000 0.000 5.546
Cs Li Te
1 3 1
direct
0.000 0.000 0.000
0.000 0.500 0.500
0.500 0.000 0.500
0.500 0.500 0.000
0.500 0.500 0.500
```

Output
The density of states at the Fermi level comes out at 1.327 states/eV per cell. For the formation energy (no corrections), the calculation gives -0.37 eV per atom. For the final energy, the calculation gives -16.811 eV per atom.


(4)
Compound: Cs2LiYTi
Source: Alexandria via LeMat-Bulk
Functional: meta-GGA SCAN
Structure: single point on PBEsol structure

Geometry as POSCAR:
```
Cs2LiYTi
1.0
6.972 0.000 0.000
0.000 6.972 0.000
0.000 0.000 5.756
Cs Li Y Ti
2 1 1 1
direct
0.000 0.500 0.000
0.500 0.000 0.000
0.000 0.000 0.500
0.000 0.000 0.000
0.500 0.500 0.500
```

Output
The energy of formation comes out at 1.4306 eV per atom. The density of states at the Fermi level comes out at 9.368 states/eV per cell. For the final energy, the calculation gives -22.946 eV per atom.


(5)
Compound: CsLiTl2
Source: Alexandria via LeMat-Bulk
Functional: meta-GGA SCAN
Structure: single point on PBEsol structure

Geometry as POSCAR:
```
CsLiTl2
1.0
8.117 0.000 0.000
0.000 8.117 0.000
0.000 0.000 8.117
Cs Li Tl
4 4 8
direct
0.000 0.000 0.000
0.000 0.500 0.500
0.500 0.000 0.500
0.500 0.500 0.000
0.000 0.000 0.500
0.000 0.500 0.000
0.500 0.000 0.000
0.500 0.500 0.500
0.250 0.250 0.250
0.250 0.250 0.750
0.250 0.750 0.250
0.250 0.750 0.750
0.750 0.250 0.250
0.750 0.250 0.750
0.750 0.750 0.250
0.750 0.750 0.750
```

Output
The energy of formation comes out at 0.0766 eV per atom. The density of states at the Fermi level comes out at 15.274 states/eV per cell. For the final energy, the calculation gives -46.153 eV per atom.


(6)
Compound: CsLiY2Zn
Source: Alexandria via LeMat-Bulk
Functional: meta-GGA SCAN
Structure: single point on PBEsol structure

Geometry as POSCAR:
```
CsLiY2Zn
1.0
5.416 0.000 0.000
0.000 5.416 0.000
0.000 0.000 5.768
Cs Li Y Zn
1 1 2 1
direct
0.000 0.000 0.000
0.000 0.000 0.500
0.000 0.500 0.500
0.500 0.000 0.500
0.500 0.500 0.000
```

Output
The energy of formation comes out at 0.9042 eV per atom. The density of states at the Fermi level comes out at 4.917 states/eV per cell. For the final energy, the calculation gives -20.976 eV per atom.


(7)
Compound: Cs3LiZn
Source: Alexandria via LeMat-Bulk
Functional: meta-GGA SCAN
Structure: single point on PBEsol structure

Geometry as POSCAR:
```
Cs3LiZn
1.0
7.378 0.000 0.000
0.000 7.378 0.000
0.000 0.000 7.378
Cs Li Zn
3 1 1
direct
0.000 0.000 0.500
0.000 0.500 0.000
0.500 0.000 0.000
0.000 0.000 0.000
0.500 0.500 0.500
```

Output
The energy of formation comes out at 0.4069 eV per atom. The density of states at the Fermi level comes out at 5.156 states/eV per cell. For the final energy, the calculation gives -25.460 eV per atom.


(8)
Compound: CsLuMo2O8
Source: Alexandria via LeMat-Bulk
Functional: meta-GGA SCAN
Structure: single point on PBEsol structure

Geometry as POSCAR:
```
CsLuMo2O8
1.0
4.968 0.000 0.000
0.000 9.453 0.000
0.000 0.000 7.774
Cs Lu Mo O
2 2 4 16
direct
0.000 0.000 0.250
0.000 0.000 0.750
0.000 0.500 0.250
0.000 0.500 0.750
0.476 0.310 0.000
0.476 0.690 0.500
0.524 0.310 0.500
0.524 0.690 0.000
0.247 0.440 0.500
0.247 0.560 0.000
0.256 0.316 0.180
0.256 0.316 0.820
0.256 0.684 0.320
0.256 0.684 0.680
0.388 0.143 0.500
0.388 0.857 0.000
0.612 0.143 0.000
0.612 0.857 0.500
0.744 0.316 0.320
0.744 0.316 0.680
0.744 0.684 0.180
0.744 0.684 0.820
0.753 0.440 0.000
0.753 0.560 0.500
```

Output
The density of states at the Fermi level comes out at 0.000 states/eV per cell. For the formation energy (no corrections), the calculation gives -2.67 eV per atom. For the final energy, the calculation gives -20.404 eV per atom.


Question: The lowest final energy belongs to which entry?
Answer: CsLiTl2


Question: Which of these has the highest final energy?
Answer: CsSrLi2Zn